First-principles (PBE) data for crystalline BeBiS2Cl at its relaxed geometry, as listed in Alexandria.

Summary:
The calculation puts the energy relative to the elements, uncorrected at 0.694 eV per atom. The space-group type is No. 123. The calculation puts the spin magnetization at 1.050 μB per cell.

Lattice parameters (Å, degrees): 5.243 5.243 5.370 90.00 90.00 90.00
Site moments in Bohr magnetons follow the coordinates.
Element x y z (fractional)
Be: 0.500 0.500 0.500  0.28
S: 0.000 0.500 0.000  0.10
S: 0.500 0.000 0.000  0.10
Bi: 0.000 0.000 0.000  0.01
Cl: 0.000 0.000 0.500  0.01